[1]
! Y2MnPtN (PBE, relaxed); values from VASP
! symmetry	No. 123
! energy	-0.6089	Ry/atom
! E_form (uncorrected)	-0.991	eV/atom
&SYSTEM
  ibrav = 0, nat = 5, ntyp = 4
/
ATOMIC_SPECIES
Y 88.91 Y.upf
Mn 54.94 Mn.upf
Pt 195.08 Pt.upf
N 14.01 N.upf
CELL_PARAMETERS angstrom
4.9014 0.0000 0.0000
0.0000 4.9014 0.0000
0.0000 0.0000 3.6322
ATOMIC_POSITIONS angstrom
Y 0.0000 2.4507 0.0000
Y 2.4507 0.0000 0.0000
Mn 0.0000 0.0000 1.8161
Pt 2.4507 2.4507 1.8161
N 0.0000 0.0000 0.0000

---

[2]
! CoSnHg (PBE, relaxed); values from VASP
! symmetry	No. 12
! energy of formation	0.17	eV per atom
! energy	-0.2672	Ry/atom
&SYSTEM
  ibrav = 0, nat = 6, ntyp = 3
/
ATOMIC_SPECIES
Co 58.93 Co.upf
Sn 118.71 Sn.upf
Hg 200.59 Hg.upf
CELL_PARAMETERS angstrom
3.7694 -2.1790 0.0000
3.7694 2.1790 0.0000
-2.5254 0.0000 7.2614
ATOMIC_POSITIONS angstrom
Co 1.2524 0.0000 1.6756
Co 3.7610 0.0000 5.5858
Sn -1.2647 0.0000 6.3204
Sn 6.2782 0.0000 0.9410
Hg 1.2479 0.0000 4.4662
Hg 3.7655 0.0000 2.7951

---

[3]
! LiTe (PBE, relaxed); values from VASP
! symmetry	No. 11
! energy above the most stable polymorph in this dataset	0.076	eV per atom
! energy	-0.2333	Ry/atom
! E_form (uncorrected)	-0.646	eV/atom
&SYSTEM
  ibrav = 0, nat = 4, ntyp = 2
/
ATOMIC_SPECIES
Li 6.94 Li.upf
Te 127.60 Te.upf
CELL_PARAMETERS angstrom
3.0474 0.0000 0.0000
0.0000 4.5606 0.0000
-0.0123 0.0000 7.5270
ATOMIC_POSITIONS angstrom
Li 0.7536 1.1401 2.8361
Li 2.2816 3.4204 4.6909
Te 0.7549 1.1401 5.6755
Te 2.2803 3.4204 1.8515

---

[4]
! Na2ZnGaSe4 (PBE, relaxed); values from VASP
! symmetry	No. 121
! energy	-0.2436	Ry/atom
! E_form (uncorrected)	-0.705	eV/atom
&SYSTEM
  ibrav = 0, nat = 8, ntyp = 4
/
ATOMIC_SPECIES
Na 22.99 Na.upf
Zn 65.41 Zn.upf
Ga 69.72 Ga.upf
Se 78.96 Se.upf
CELL_PARAMETERS angstrom
-3.7261 3.7261 3.3442
3.7261 -3.7261 3.3442
3.7261 3.7261 -3.3442
ATOMIC_POSITIONS angstrom
Na 3.7261 0.0000 0.0000
Na 0.0000 3.7261 0.0000
Zn 0.0000 0.0000 0.0000
Ga 0.0000 0.0000 3.3442
Se 2.4363 2.4363 -1.6367
Se 1.2898 1.2898 1.7075
Se 1.2898 -1.2898 4.9810
Se -1.2898 1.2898 4.9810

---

[5]
! Mg4SnPt (PBE, relaxed); values from VASP
! symmetry	No. 12
! energy above the most stable polymorph in this dataset	0.035	eV per atom
! energy of formation	-0.38	eV per atom
! energy	-0.2293	Ry/atom
&SYSTEM
  ibrav = 0, nat = 6, ntyp = 3
/
ATOMIC_SPECIES
Mg 24.30 Mg.upf
Sn 118.71 Sn.upf
Pt 195.08 Pt.upf
CELL_PARAMETERS angstrom
3.9924 -2.3000 0.0000
3.9924 2.3000 0.0000
-2.6394 0.0000 7.6711
ATOMIC_POSITIONS angstrom
Mg 0.0139 0.0000 2.6599
Mg 2.6615 0.0000 0.7558
Mg 2.6840 0.0000 6.9153
Mg 5.3316 0.0000 5.0112
Sn 2.6728 0.0000 3.8355
Pt 0.0000 0.0000 0.0000

---

[6]
! SrB (PBE, relaxed); values from VASP
! symmetry	No. 136
! energy above the most stable polymorph in this dataset	0.316	eV per atom
! energy of formation	0.30	eV per atom
! energy	-0.2855	Ry/atom
&SYSTEM
  ibrav = 0, nat = 8, ntyp = 2
/
ATOMIC_SPECIES
Sr 87.62 Sr.upf
B 10.81 B.upf
CELL_PARAMETERS angstrom
6.3694 0.0000 0.0000
0.0000 6.3694 0.0000
0.0000 0.0000 5.3391
ATOMIC_POSITIONS angstrom
Sr 1.2664 1.2664 0.0000
Sr 1.9183 4.4510 2.6696
Sr 4.4510 1.9183 2.6696
Sr 5.1030 5.1030 0.0000
B 0.5443 0.5443 2.6696
B 2.6404 3.7290 0.0000
B 3.7290 2.6404 0.0000
B 5.8250 5.8250 2.6696